Crystalline Zr2PdRuPt at its relaxed geometry. Source: Alexandria, functional PBE.

Lattice parameters (Å, degrees): 5.0300 5.0300 4.7079 90.00 90.00 90.00
Space group P4/mmm (No. 123)
Symmetry-distinct sites (fractional):
Zr (0.0000, 0.5000, 0.0000) [2 per cell]
Pd (0.0000, 0.0000, 0.5000) [1 per cell]
Ru (0.5000, 0.5000, 0.5000) [1 per cell]
Pt (0.5000, 0.5000, 0.0000) [1 per cell]

Uncorrected energy (eV/atom): -6.861
Energy relative to the lowest polymorph listed for this composition (eV per atom): 0.000
Energy of formation from the pure elements (kcal/mol of atoms): 15.23
Calculated density (kg/m3): 8155

Crystalline Zr2PdRuPt at its relaxed geometry. Source: Alexandria, functional PBE.

Lattice parameters (Å, degrees): 4.9391 4.9391 4.6435 90.00 90.00 90.00
Space group P4/mmm (No. 123)
Symmetry-distinct sites (fractional):
Zr (0.0000, 0.5000, 0.0000) [2 per cell]
Pd (0.0000, 0.0000, 0.0000) [1 per cell]
Ru (0.0000, 0.0000, 0.5000) [1 per cell]
Pt (0.5000, 0.5000, 0.5000) [1 per cell]

Uncorrected energy (eV/atom): -6.707
Energy relative to the lowest polymorph listed for this composition (eV per atom): 0.154
Energy of formation from the pure elements (kcal/mol of atoms): 18.78
Calculated density (kg/m3): 8576

Crystalline Pd2PtS2 at its relaxed geometry. Source: Alexandria, functional PBE.

Lattice parameters (Å, degrees): 7.1066 7.1066 3.1010 90.00 90.00 90.00
Space group P4/mbm (No. 127)
Symmetry-distinct sites (fractional):
Pd (0.1462, 0.3538, 0.0000) [4 per cell]
Pt (0.0000, 0.0000, 0.0000) [2 per cell]
S (0.1627, 0.6627, 0.5000) [4 per cell]

Raw formation energy (kJ/mol of formula units): 118
Uncorrected energy (eV/atom): -4.692
Energy relative to the lowest polymorph listed for this composition (eV per atom): 0.000
Calculated density (kg/m3): 10010

Crystalline PdPt2S at its relaxed geometry. Source: Alexandria, functional PBE.

Lattice parameters (Å, degrees): 7.0684 7.0684 5.1813 90.00 90.00 90.00
Space group I-42d (No. 122)
Symmetry-distinct sites (fractional):
Pd (0.0000, 0.0000, 0.0000) [4 per cell]
Pt (0.2017, 0.2500, 0.6250) [8 per cell]
S (0.0000, 0.0000, 0.5000) [4 per cell]

Raw formation energy (kJ/mol of formula units): 28
Uncorrected energy (eV/atom): -5.277
Calculated density (kg/m3): 13564

Crystalline Pd2PtS at its relaxed geometry. Source: Alexandria, functional PBE.

Lattice parameters (Å, degrees): 7.1024 7.1024 5.0590 90.00 90.00 90.00
Space group I-42d (No. 122)
Symmetry-distinct sites (fractional):
Pd (0.2021, 0.2500, 0.1250) [8 per cell]
Pt (0.0000, 0.0000, 0.5000) [4 per cell]
S (0.0000, 0.0000, 0.0000) [4 per cell]

Raw formation energy (kJ/mol of formula units): 18
Uncorrected energy (eV/atom): -5.092
Calculated density (kg/m3): 11452

Crystalline PdPtS2 at its relaxed geometry. Source: Alexandria, functional PBE.

Lattice parameters (Å, degrees): 3.5563 3.5563 21.2726 90.00 90.00 120.00
Space group R-3m (No. 166, hexagonal axes)
Symmetry-distinct sites (fractional):
Pd (0.0000, 0.0000, 0.0000) [3 per cell]
Pt (0.0000, 0.0000, 0.5000) [3 per cell]
S (0.0000, 0.0000, 0.1071) [6 per cell]

Raw formation energy (kJ/mol of formula units): -76
Uncorrected energy (eV/atom): -5.070
Calculated density (kg/m3): 7818

Crystalline PdPtS2 at its relaxed geometry. Source: Alexandria, functional PBE.

Lattice parameters (Å, degrees): 5.4344 5.4344 10.8268 90.00 90.00 90.00
Space group I-42d (No. 122)
Symmetry-distinct sites (fractional):
Pd (0.0000, 0.0000, 0.0000) [4 per cell]
Pt (0.0000, 0.0000, 0.5000) [4 per cell]
S (0.2424, 0.2500, 0.6250) [8 per cell]

Raw formation energy (kJ/mol of formula units): -21
Uncorrected energy (eV/atom): -4.927
Calculated density (kg/m3): 7596

Crystalline PdPtS3 at its relaxed geometry. Source: Alexandria, functional PBE.

Lattice parameters (Å, degrees): 4.7105 4.7105 4.7105 90.00 90.00 90.00
Space group Pm-3m (No. 221)
Symmetry-distinct sites (fractional):
Pd (0.0000, 0.0000, 0.0000) [1 per cell]
Pt (0.5000, 0.5000, 0.5000) [1 per cell]
S (0.0000, 0.5000, 0.5000) [3 per cell]

Raw formation energy (kJ/mol of formula units): 390
Uncorrected energy (eV/atom): -3.915
Energy relative to the lowest polymorph listed for this composition (eV per atom): 0.000
Calculated density (kg/m3): 6318

Crystalline Pd2Pt2S at its relaxed geometry. Source: Alexandria, functional PBE.

Lattice parameters (Å, degrees): 6.4045 6.4045 4.0250 90.00 90.00 90.00
Space group P4/mbm (No. 127)
Symmetry-distinct sites (fractional):
Pd (0.1513, 0.3487, 0.0000) [4 per cell]
Pt (0.1541, 0.6541, 0.5000) [4 per cell]
S (0.0000, 0.0000, 0.5000) [2 per cell]

Raw formation energy (kJ/mol of formula units): 97
Uncorrected energy (eV/atom): -5.119
Calculated density (kg/m3): 12775

Crystalline PdPt2S2 at its relaxed geometry. Source: Alexandria, functional PBE.

Lattice parameters (Å, degrees): 6.8568 6.8568 3.3853 90.00 90.00 90.00
Space group P4/mbm (No. 127)
Symmetry-distinct sites (fractional):
Pd (0.0000, 0.0000, 0.0000) [2 per cell]
Pt (0.1463, 0.3537, 0.5000) [4 per cell]
S (0.1760, 0.6760, 0.0000) [4 per cell]

Raw formation energy (kJ/mol of formula units): 94
Uncorrected energy (eV/atom): -4.911
Energy relative to the lowest polymorph listed for this composition (eV per atom): 0.000
Calculated density (kg/m3): 11700

Crystalline PdPt4S8 at its relaxed geometry. Source: Alexandria, functional PBE.

Lattice parameters (Å, degrees): 7.1566 7.1566 17.7547 90.00 90.00 120.00
Space group R-3m (No. 166, hexagonal axes)
Symmetry-distinct sites (fractional):
Pd (0.0000, 0.0000, 0.0000) [3 per cell]
Pt (0.0000, 0.0000, 0.5000) [3 per cell]
Pt (0.0000, 0.5000, 0.5000) [9 per cell]
S (0.0000, 0.0000, 0.2364) [6 per cell]
S (0.0127, 0.5064, 0.7618) [18 per cell]

Raw formation energy (kJ/mol of formula units): -360
Uncorrected energy (eV/atom): -5.085
Calculated density (kg/m3): 7232

Crystalline PdPt3S at its relaxed geometry. Source: Alexandria, functional PBE.

Lattice parameters (Å, degrees): 4.8337 4.8337 4.8337 90.00 90.00 90.00
Space group Pm-3m (No. 221)
Symmetry-distinct sites (fractional):
Pd (0.0000, 0.0000, 0.0000) [1 per cell]
Pt (0.0000, 0.0000, 0.5000) [3 per cell]
S (0.5000, 0.5000, 0.5000) [1 per cell]

Raw formation energy (kJ/mol of formula units): 812
Uncorrected energy (eV/atom): -3.806
Energy relative to the lowest polymorph listed for this composition (eV per atom): 1.297
Calculated density (kg/m3): 10641